# CsMnF3

An optimized crystal structure of CsMnF3 (PBE with a Hubbard U, Alexandria via LeMat-Bulk).

Calculated values
final energy: -217.8 eV per cell
V: 22.4 A^3/atom
theoretical density: 3636 kg/m³

CIF file:
```
data_CsMnF3
_chemical_formula_sum 'Cs8 Mn8 F24'
_symmetry_space_group_name_H-M 'C 1 2/c 1'
_symmetry_Int_Tables_number 15
_symmetry_space_group_name_Hall '-C 2yc'
_cell_length_a 13.712
_cell_length_b 10.397
_cell_length_c 6.337
_cell_angle_alpha 90.00
_cell_angle_beta 98.11
_cell_angle_gamma 90.00
loop_
_atom_site_label
_atom_site_fract_x
_atom_site_fract_y
_atom_site_fract_z
Cs1 0.000 0.120 0.250
Cs2 0.000 0.342 0.750
Mn1 0.243 0.103 0.886
F1 0.117 0.104 0.677
F2 0.165 0.237 0.079
F3 0.187 0.499 0.349
```